Computed, not measured: a relaxed NbMoCl2 crystal at the GGA-PBEsol level of DFT.

As for the space-group type: R-3m (166). The total energy is -26.32 eV/cell. The raw formation energy is 0.07 eV per atom.

Cell: 2.994 2.994 8.680 Å, 80.07 80.07 60.00°
Sites, in units of the cell vectors:
Mo1 0.500 0.500 0.500
Nb1 0.000 0.000 0.000
Cl1 0.903 0.903 0.292
Cl2 0.097 0.097 0.708